# Ce2H4Rh

A geometry-optimized Ce2H4Rh structure (PBE-GGA, Alexandria).

abc: 5.9007 4.5601 7.3951
angles: 90.00 113.23 90.00
With the nearest neighbours (Å) after each atom.
Sites, in units of the cell vectors:
Ce1 0.2177 0.2500 0.4260  6 H 2.36-2.54
Ce2 0.2189 0.2500 0.9334  6 H 2.33-2.58
Ce3 0.7811 0.7500 0.0666  6 H 2.33-2.58
Ce4 0.7823 0.7500 0.5740  6 H 2.36-2.54
H1 0.0406 0.7500 0.3991  4 Ce 2.33-2.48
H2 0.0896 0.7500 0.9295  1 Rh 1.98
H3 0.4405 0.5219 0.7432  1 Rh 1.75
H4 0.4405 0.9781 0.7432  1 Rh 1.75
H5 0.5595 0.0219 0.2568  1 Rh 1.75
H6 0.5595 0.4781 0.2568  1 Rh 1.75
H7 0.9104 0.2500 0.0705  1 Rh 1.98
H8 0.9594 0.2500 0.6009  4 Ce 2.33-2.48
Rh1 0.3334 0.7500 0.2052  2 H 1.75
Rh2 0.6666 0.2500 0.7948  2 H 1.75

Computed properties:
The relative energy among the computed polymorphs comes out at 0.0 meV per atom. For the magnetization, the calculation gives 2.66 μB/cell. For the electronic total energy, the calculation gives -71.55 eV for the cell shown.